Record 1
! Li10SiP2O12, single point on PBEsol structure, DFT SCAN; values from VASP
&SYSTEM
  ibrav = 0, nat = 50, ntyp = 4
/
ATOMIC_SPECIES
Li 6.94 Li.upf
Si 28.09 Si.upf
O 16.00 O.upf
P 30.97 P.upf
ATOMIC_POSITIONS crystal
Li 0.767 0.750 0.172
Si 0.521 0.005 0.172
Li 0.210 0.160 0.243
O 0.512 0.679 0.911
Li 0.782 0.239 0.299
O 0.306 0.999 0.089
O 0.515 0.215 0.618
Li 0.027 0.093 0.753
Li 0.760 0.186 0.940
O 0.708 0.980 0.067
Li 0.467 0.469 0.256
Li 0.271 0.742 0.818
O 0.703 0.518 0.093
O 0.021 0.703 0.243
Li 0.259 0.195 0.952
O 0.022 0.205 0.584
O 0.512 0.198 0.258
O 0.202 0.024 0.408
Li 0.253 0.353 0.572
O 0.704 0.001 0.782
P 0.513 0.025 0.694
Li 0.263 0.795 0.325
Li 0.174 0.757 0.074
Li 0.707 0.779 0.418
O 0.222 0.522 0.715
O 0.015 0.297 0.891
O 0.030 0.671 0.913
Li 0.486 0.943 0.940
O 0.806 0.515 0.723
Li 0.777 0.762 0.671
O 0.533 0.824 0.274
Li 0.785 0.796 0.926
Li 0.792 0.364 0.574
P 0.512 0.508 0.008
O 0.815 0.037 0.416
Si 0.014 0.496 0.807
Li 0.001 0.454 0.062
O 0.007 0.854 0.585
O 0.217 0.538 0.414
Li 0.499 0.067 0.434
O 0.024 0.348 0.245
Li 0.520 0.444 0.757
P 0.020 0.524 0.331
O 0.324 0.009 0.786
O 0.513 0.326 0.927
O 0.820 0.517 0.412
O 0.321 0.515 0.095
P 0.011 0.030 0.496
Li 0.240 0.703 0.574
O 0.513 0.859 0.596
CELL_PARAMETERS angstrom
-6.458 1.349 0.200
-1.453 -6.827 -1.447
-0.246 -2.169 10.062
! - total energy (eV/cell) = -386.74
! - ΔE_f (raw) (kJ per mole of atoms) = -247
! - density (g cm⁻³) = 2.41
! - Fermi-level density of states (states/eV/f.u.) = 0.00

=====

Record 2
! TaTe2Cl6, single point on PBEsol structure, DFT SCAN; values from VASP
&SYSTEM
  ibrav = 0, nat = 18, ntyp = 3
/
ATOMIC_SPECIES
Cl 35.45 Cl.upf
Te 127.60 Te.upf
Ta 180.95 Ta.upf
ATOMIC_POSITIONS crystal
Cl 0.892 0.543 0.286
Cl 0.942 0.023 0.759
Cl 0.643 0.631 0.826
Cl 0.108 0.457 0.714
Te 0.750 0.853 0.509
Cl 0.716 0.370 0.600
Cl 0.134 0.720 0.007
Te 0.390 0.902 0.666
Ta 0.789 0.327 0.800
Te 0.610 0.098 0.334
Cl 0.481 0.184 0.876
Cl 0.519 0.816 0.124
Te 0.250 0.147 0.491
Cl 0.866 0.280 0.993
Cl 0.284 0.630 0.400
Cl 0.058 0.977 0.241
Ta 0.211 0.673 0.200
Cl 0.357 0.369 0.174
CELL_PARAMETERS angstrom
-2.699 1.392 -5.998
0.601 -6.712 -2.445
-10.651 -3.389 1.335
! - total energy (eV/cell) = -397.04
! - ΔE_f (raw) (kJ per mole of atoms) = -103
! - density (g cm⁻³) = 4.12

=====

Record 3
! Bi2TeO5, single point on PBEsol structure, DFT SCAN; values from VASP
&SYSTEM
  ibrav = 0, nat = 32, ntyp = 3
/
ATOMIC_SPECIES
Bi 208.98 Bi.upf
O 16.00 O.upf
Te 127.60 Te.upf
ATOMIC_POSITIONS crystal
Bi 0.757 0.500 0.874
O 0.887 0.500 0.704
O 0.387 0.500 0.296
O 0.435 0.295 0.061
O 0.396 0.079 0.256
Bi 0.251 0.500 0.615
O 0.560 0.684 0.789
O 0.742 0.000 0.500
Bi 0.751 0.500 0.385
O 0.954 0.325 0.510
O 0.876 0.316 0.211
O 0.376 0.316 0.789
Bi 0.257 0.500 0.126
O 0.316 0.921 0.744
Te 0.954 0.840 0.127
Bi 0.107 0.169 0.389
O 0.129 0.675 0.510
O 0.060 0.684 0.211
Bi 0.938 0.831 0.611
O 0.454 0.325 0.490
O 0.242 0.000 0.500
Bi 0.438 0.831 0.389
Te 0.114 0.160 0.873
O 0.140 0.705 0.939
Te 0.614 0.160 0.127
Te 0.454 0.840 0.873
O 0.816 0.921 0.256
O 0.640 0.705 0.061
O 0.935 0.295 0.939
Bi 0.607 0.169 0.611
O 0.629 0.675 0.490
O 0.896 0.079 0.744
CELL_PARAMETERS angstrom
-2.231 -1.687 4.749
-1.302 -6.119 -5.983
9.869 -4.923 2.888
! - total energy (eV/cell) = -940.18
! - ΔE_f (raw) (kJ per mole of atoms) = -114
! - density (g cm⁻³) = 8.06
! - Fermi-level density of states (states/eV/f.u.) = 0.00

=====

Record 4
! Cs2NaCaBe, single point on PBEsol structure, DFT SCAN; values from VASP
&SYSTEM
  ibrav = 0, nat = 5, ntyp = 4
/
ATOMIC_SPECIES
Ca 40.08 Ca.upf
Cs 132.91 Cs.upf
Na 22.99 Na.upf
Be 9.01 Be.upf
ATOMIC_POSITIONS crystal
Ca 0.500 0.500 0.500
Cs 0.000 0.500 0.000
Na 0.500 0.000 0.000
Cs 0.000 0.000 0.500
Be 0.000 0.000 0.000
CELL_PARAMETERS angstrom
5.804 0.000 0.000
0.000 6.862 0.000
0.000 0.000 6.862
! - total energy (eV/cell) = -90.47
! - formation energy from the elements (eV per atom) = 0.677
! - density (g cm⁻³) = 2.05
! - Fermi-level density of states (states/eV/f.u.) = 4.28

=====

Record 5
! Si3GeN, single point on PBEsol structure, DFT SCAN; values from VASP
&SYSTEM
  ibrav = 0, nat = 5, ntyp = 3
/
ATOMIC_SPECIES
Si 28.09 Si.upf
Ge 72.64 Ge.upf
N 14.01 N.upf
ATOMIC_POSITIONS crystal
Si 0.500 0.000 0.000
Si 0.000 0.500 0.000
Ge 0.000 0.000 0.000
Si 0.000 0.000 0.500
N 0.500 0.500 0.500
CELL_PARAMETERS angstrom
4.651 0.000 0.000
0.000 4.651 0.000
0.000 0.000 4.651
! - total energy (eV/cell) = -47.09
! - ΔE_f (raw) (kJ per mole of atoms) = 219
! - density (g cm⁻³) = 2.82
! - Fermi-level density of states (states/eV/f.u.) = 2.47

=====

Record 6
! BaBr3, single point on PBEsol structure, DFT SCAN; values from VASP
&SYSTEM
  ibrav = 0, nat = 8, ntyp = 2
/
ATOMIC_SPECIES
Br 79.90 Br.upf
Ba 137.33 Ba.upf
ATOMIC_POSITIONS crystal
Br 0.000 0.750 0.500
Br 0.500 0.000 0.750
Br 0.000 0.250 0.500
Br 0.500 0.000 0.250
Ba 0.500 0.500 0.500
Br 0.250 0.500 0.000
Br 0.750 0.500 0.000
Ba 0.000 0.000 0.000
CELL_PARAMETERS angstrom
6.133 0.000 0.000
0.000 6.133 0.000
0.000 0.000 6.133
! - total energy (eV/cell) = -210.01
! - ΔE_f (raw) (kJ per mole of atoms) = -171
! - density (g cm⁻³) = 5.43
! - Fermi-level density of states (states/eV/f.u.) = 2.13

=====

Record 7
! MgTcAsI2, single point on PBEsol structure, DFT SCAN; values from VASP
&SYSTEM
  ibrav = 0, nat = 5, ntyp = 4
/
ATOMIC_SPECIES
I 126.90 I.upf
Mg 24.30 Mg.upf
Tc 98.00 Tc.upf
As 74.92 As.upf
ATOMIC_POSITIONS crystal
I 0.000 0.500 0.000
Mg 0.500 0.000 0.000
Tc 0.500 0.500 0.500
As 0.000 0.000 0.000
I 0.000 0.000 0.500
CELL_PARAMETERS angstrom
-4.534 -1.430 1.307
0.552 -4.678 -3.207
2.170 -2.803 4.462
! - total energy (eV/cell) = -129.02
! - ΔE_f (raw) (kJ per mole of atoms) = 90
! - density (g cm⁻³) = 4.68
! - Fermi-level density of states (states/eV/f.u.) = 5.28

=====

Record 8
! Y3Sb4Au3, single point on PBEsol structure, DFT SCAN; values from VASP
&SYSTEM
  ibrav = 0, nat = 20, ntyp = 3
/
ATOMIC_SPECIES
Sb 121.76 Sb.upf
Au 196.97 Au.upf
Y 88.91 Y.upf
ATOMIC_POSITIONS crystal
Sb 0.822 0.822 0.322
Au 0.250 0.375 0.125
Sb 0.500 0.678 0.500
Y 0.375 0.750 0.125
Sb 0.000 0.500 0.178
Au 0.125 0.875 0.250
Y 0.625 0.375 0.250
Au 0.375 0.625 0.750
Y 0.750 0.625 0.875
Y 0.875 0.125 0.750
Sb 0.000 0.500 0.678
Sb 0.500 0.178 0.500
Sb 0.322 0.322 0.822
Au 0.875 0.750 0.625
Sb 0.178 0.000 0.000
Au 0.750 0.125 0.375
Y 0.250 0.875 0.625
Y 0.125 0.250 0.375
Sb 0.678 0.000 0.000
Au 0.625 0.250 0.875
CELL_PARAMETERS angstrom
8.480 0.000 0.000
-2.827 7.995 0.000
-2.827 -3.998 6.924
! - total energy (eV/cell) = -901.12
! - ΔE_f (raw) (kJ per mole of atoms) = -101
! - density (g cm⁻³) = 9.51

=====

Record 9
! SmFeO3, single point on PBEsol structure, DFT SCAN; values from VASP
&SYSTEM
  ibrav = 0, nat = 20, ntyp = 3
/
ATOMIC_SPECIES
Fe 55.84 Fe.upf
O 16.00 O.upf
Sm 150.36 Sm.upf
ATOMIC_POSITIONS crystal
Fe 0.500 0.000 0.000
Fe 0.000 0.500 0.000
O 0.296 0.706 0.957
O 0.704 0.294 0.043
Sm 0.015 0.938 0.750
O 0.796 0.794 0.457
O 0.796 0.794 0.043
O 0.704 0.294 0.457
O 0.920 0.516 0.750
Sm 0.985 0.062 0.250
O 0.080 0.484 0.250
O 0.204 0.206 0.543
O 0.204 0.206 0.957
O 0.420 0.984 0.250
Sm 0.485 0.438 0.750
Fe 0.500 0.000 0.500
Sm 0.515 0.562 0.250
O 0.580 0.016 0.750
Fe 0.000 0.500 0.500
O 0.296 0.706 0.543
CELL_PARAMETERS angstrom
-4.787 2.085 -0.641
-1.629 -4.547 -2.625
-2.179 -2.993 6.534
! - total energy (eV/cell) = -379.36
! - ΔE_f (raw) (kJ per mole of atoms) = -262
! - density (g cm⁻³) = 7.77
! - Fermi-level density of states (states/eV/f.u.) = 1.55

=====

Record 10
! PrTm3, single point on PBEsol structure, DFT SCAN; values from VASP
&SYSTEM
  ibrav = 0, nat = 4, ntyp = 2
/
ATOMIC_SPECIES
Tm 168.93 Tm.upf
Pr 140.91 Pr.upf
ATOMIC_POSITIONS crystal
Tm 0.500 0.500 0.000
Tm 0.250 0.750 0.500
Pr 0.000 0.000 0.000
Tm 0.750 0.250 0.500
CELL_PARAMETERS angstrom
4.927 0.000 0.000
0.000 4.927 0.000
-2.463 -2.463 4.890
! - total energy (eV/cell) = -198.67
! - formation energy from the elements (eV per atom) = 0.037
! - density (g cm⁻³) = 9.06
! - energy above the lowest structure with this stoichiometry (kJ/mol of atoms) = 1.9
! - Fermi-level density of states (states/eV/f.u.) = 5.34

=====

Record 11
! Al2AgMo, single point on PBEsol structure, DFT SCAN; values from VASP
&SYSTEM
  ibrav = 0, nat = 4, ntyp = 3
/
ATOMIC_SPECIES
Al 26.98 Al.upf
Mo 95.94 Mo.upf
Ag 107.87 Ag.upf
ATOMIC_POSITIONS crystal
Al 0.995 0.995 0.991
Al 0.753 0.253 0.507
Mo 0.496 0.496 0.993
Ag 0.255 0.755 0.510
CELL_PARAMETERS angstrom
2.962 0.000 0.000
0.000 4.408 0.000
-1.481 -2.204 4.713
! - total energy (eV/cell) = -81.91
! - formation energy from the elements (eV per atom) = -0.039
! - density (g cm⁻³) = 6.96
! - energy above the lowest structure with this stoichiometry (kJ/mol of atoms) = 2.3
! - Fermi-level density of states (states/eV/f.u.) = 2.25

=====

Record 12
! GaSe2BrN, single point on PBEsol structure, DFT SCAN; values from VASP
&SYSTEM
  ibrav = 0, nat = 5, ntyp = 4
/
ATOMIC_SPECIES
Se 78.96 Se.upf
Br 79.90 Br.upf
N 14.01 N.upf
Ga 69.72 Ga.upf
ATOMIC_POSITIONS crystal
Se 0.000 0.500 0.000
Br 0.000 0.000 0.500
N 0.500 0.500 0.500
Ga 0.000 0.000 0.000
Se 0.500 0.000 0.000
CELL_PARAMETERS angstrom
-3.639 -3.132 -1.098
3.282 -3.152 -1.886
0.521 -2.231 4.635
! - total energy (eV/cell) = -79.79
! - ΔE_f (raw) (kJ per mole of atoms) = 105
! - density (g cm⁻³) = 4.26
! - energy above the lowest structure with this stoichiometry (kJ/mol of atoms) = 41.7
! - Fermi-level density of states (states/eV/f.u.) = 3.99